Below is NaLiSb2I at its PBEsol-relaxed geometry, with properties calculated at the meta-GGA SCAN level.

Geometry as POSCAR:
```
NaLiSb2I
1.0
5.379 0.000 0.000
0.000 5.379 0.000
0.000 0.000 5.970
Sb Na I Li
2 1 1 1
Cartesian
0.000 2.690 0.000
2.690 0.000 0.000
0.000 0.000 0.000
0.000 0.000 2.985
2.690 2.690 2.985
```

Computed properties:
- Calculated total energy: -1.7073 Ry/atom
- Uncorrected formation energy: 0.34 eV/atom
- Symmetry: P4/mmm, No. 123